A relaxed NaErTa4N8 crystal, computed with GGA-PBE.

## Properties
E_form (uncorrected) = -971 meV/atom
Crystal system = trigonal

a b c (Å): 6.3188 6.3188 15.9670
angles (deg): 90.00 90.00 120.00
Space group R3m (No. 160, hexagonal axes)
Inequivalent atoms, fractional coordinates:
Na (0.0000, 0.0000, 0.0000)
Er (0.0000, 0.0000, 0.3816)
Ta (0.0000, 0.0000, 0.6260)
Ta (0.1723, 0.3446, 0.8338)
N (0.0000, 0.0000, 0.2406)
N (0.0000, 0.0000, 0.7626)
N (0.0080, 0.5040, 0.2439)
N (0.0315, 0.5158, 0.7704)

***

A relaxed Na2ErTc2N4 crystal, computed with GGA-PBE.

## Properties
E_form (uncorrected) = -434 meV/atom
Crystal system = monoclinic

a b c (Å): 11.527 3.399 8.653
angles (deg): 90.00 127.74 90.00
Space group C2/m (No. 12)
Inequivalent atoms, fractional coordinates:
Na (0.163, 0.000, 0.271)
Er (0.000, 0.000, 0.500)
Tc (0.148, 0.500, 0.876)
N (0.047, 0.500, 0.356)
N (0.219, 0.000, 0.822)

***

Which of these has the lowest E_form (uncorrected)? NaErTa4N8

***

Copy entry 2 word for word.
A relaxed Na2ErTc2N4 crystal, computed with GGA-PBE.

## Properties
E_form (uncorrected) = -434 meV/atom
Crystal system = monoclinic

a b c (Å): 11.527 3.399 8.653
angles (deg): 90.00 127.74 90.00
Space group C2/m (No. 12)
Inequivalent atoms, fractional coordinates:
Na (0.163, 0.000, 0.271)
Er (0.000, 0.000, 0.500)
Tc (0.148, 0.500, 0.876)
N (0.047, 0.500, 0.356)
N (0.219, 0.000, 0.822)

***

Repeat the first record exactly.
A relaxed NaErTa4N8 crystal, computed with GGA-PBE.

## Properties
E_form (uncorrected) = -971 meV/atom
Crystal system = trigonal

a b c (Å): 6.3188 6.3188 15.9670
angles (deg): 90.00 90.00 120.00
Space group R3m (No. 160, hexagonal axes)
Inequivalent atoms, fractional coordinates:
Na (0.0000, 0.0000, 0.0000)
Er (0.0000, 0.0000, 0.3816)
Ta (0.0000, 0.0000, 0.6260)
Ta (0.1723, 0.3446, 0.8338)
N (0.0000, 0.0000, 0.2406)
N (0.0000, 0.0000, 0.7626)
N (0.0080, 0.5040, 0.2439)
N (0.0315, 0.5158, 0.7704)